(1)
Tm4MgZr (PBE, optimized geometry); energy of formation from the pure elements = 28 meV/atom; total moment = 0.00 Bohr magnetons per cell; SG = No. 123; calculated density = 7.93 g/cm³
1.0
3.412 0.000 0.000
0.000 3.412 0.000
0.000 0.000 14.235
Tm Mg Zr
4 1 1
direct
0.000 0.000 0.159
0.000 0.000 0.841
0.500 0.500 0.339
0.500 0.500 0.661
0.000 0.000 0.500
0.500 0.500 0.000

(2)
TmMgZr2 (PBE, optimized geometry); energy of formation from the pure elements = 72 meV/atom; total moment = 0.00 Bohr magnetons per cell; SG = No. 123; offset from the most stable computed form = 0.00 kJ per mole of atoms; calculated density = 6.47 g/cm³
1.0
3.242 0.000 0.000
0.000 3.242 0.000
0.000 0.000 9.172
Tm Mg Zr
1 1 2
direct
0.000 0.000 0.000
0.000 0.000 0.500
0.500 0.500 0.257
0.500 0.500 0.743

(3)
Tm2Mg2Zr3 (PBE, optimized geometry); energy of formation from the pure elements = 111 meV/atom; total moment = 0.00 Bohr magnetons per cell; SG = No. 65; calculated density = 6.19 g/cm³
1.0
3.892 0.000 0.000
0.000 26.804 0.000
0.000 0.000 3.397
Tm Mg Zr
4 4 6
direct
0.000 0.199 0.000
0.000 0.801 0.000
0.500 0.301 0.000
0.500 0.699 0.000
0.000 0.373 0.500
0.000 0.627 0.500
0.500 0.127 0.500
0.500 0.873 0.500
0.000 0.064 0.000
0.000 0.500 0.500
0.000 0.936 0.000
0.500 0.000 0.500
0.500 0.436 0.000
0.500 0.564 0.000

(4)
TmMg4Zr (PBE, optimized geometry); energy of formation from the pure elements = 65 meV/atom; total moment = 2.38 Bohr magnetons per cell; SG = No. 216; offset from the most stable computed form = 3.24 kJ per mole of atoms; calculated density = 4.17 g/cm³
1.0
0.000 4.144 4.144
4.144 0.000 4.144
4.144 4.144 0.000
Tm Mg Zr
1 4 1
direct
0.000 0.000 0.000
0.127 0.624 0.624
0.624 0.127 0.624
0.624 0.624 0.127
0.624 0.624 0.624
0.250 0.250 0.250

(5)
Tm2MgZr (PBE, optimized geometry); energy of formation from the pure elements = 85 meV/atom; total moment = 0.00 Bohr magnetons per cell; SG = No. 123; offset from the most stable computed form = 10.51 kJ per mole of atoms; calculated density = 7.26 g/cm³
1.0
4.716 0.000 0.000
0.000 4.716 0.000
0.000 0.000 4.661
Tm Mg Zr
2 1 1
direct
0.000 0.500 0.000
0.500 0.000 0.000
0.000 0.000 0.500
0.500 0.500 0.500

(6)
Tm2MgZr (PBE, optimized geometry); energy of formation from the pure elements = 132 meV/atom; total moment = 8.14 Bohr magnetons per cell; SG = No. 225; offset from the most stable computed form = 15.09 kJ per mole of atoms; calculated density = 7.15 g/cm³
1.0
7.495 0.000 0.000
0.000 7.495 0.000
0.000 0.000 7.495
Tm Mg Zr
8 4 4
direct
0.250 0.250 0.250
0.250 0.250 0.750
0.250 0.750 0.250
0.250 0.750 0.750
0.750 0.250 0.250
0.750 0.250 0.750
0.750 0.750 0.250
0.750 0.750 0.750
0.000 0.000 0.000
0.000 0.500 0.500
0.500 0.000 0.500
0.500 0.500 0.000
0.000 0.000 0.500
0.000 0.500 0.000
0.500 0.000 0.000
0.500 0.500 0.500

(7)
TmMgZr2 (PBE, optimized geometry); energy of formation from the pure elements = 97 meV/atom; total moment = 0.00 Bohr magnetons per cell; SG = No. 160; offset from the most stable computed form = 2.46 kJ per mole of atoms; calculated density = 6.36 g/cm³
1.0
3.243 0.000 0.000
-1.621 2.808 0.000
0.000 0.000 32.330
Tm Mg Zr
3 3 6
direct
0.000 0.000 0.000
0.333 0.667 0.667
0.667 0.333 0.333
0.000 0.000 0.166
0.333 0.667 0.833
0.667 0.333 0.500
0.000 0.000 0.583
0.000 0.000 0.751
0.333 0.667 0.250
0.333 0.667 0.417
0.667 0.333 0.084
0.667 0.333 0.916

(8)
TmMg2Zr (PBE, optimized geometry); energy of formation from the pure elements = 30 meV/atom; total moment = 0.00 Bohr magnetons per cell; SG = No. 123; offset from the most stable computed form = 6.54 kJ per mole of atoms; calculated density = 5.35 g/cm³
1.0
3.597 0.000 0.000
0.000 3.597 0.000
0.000 0.000 7.405
Tm Mg Zr
1 2 1
direct
0.000 0.000 0.000
0.500 0.500 0.266
0.500 0.500 0.734
0.000 0.000 0.500

(9)
TmMg2Zr (PBE, optimized geometry); energy of formation from the pure elements = 92 meV/atom; total moment = 0.00 Bohr magnetons per cell; SG = No. 166; offset from the most stable computed form = 12.50 kJ per mole of atoms; calculated density = 5.17 g/cm³
1.0
3.250 0.000 0.000
-1.625 2.814 0.000
0.000 0.000 32.520
Tm Mg Zr
3 6 3
direct
0.000 0.000 0.000
0.333 0.667 0.667
0.667 0.333 0.333
0.000 0.000 0.247
0.000 0.000 0.753
0.333 0.667 0.420
0.333 0.667 0.914
0.667 0.333 0.086
0.667 0.333 0.580
0.000 0.000 0.500
0.333 0.667 0.167
0.667 0.333 0.833

(10)
TmMg6Zr (PBE, optimized geometry); energy of formation from the pure elements = -5 meV/atom; total moment = 0.00 Bohr magnetons per cell; SG = No. 123; calculated density = 3.60 g/cm³
1.0
4.596 0.000 0.000
0.000 4.596 0.000
0.000 0.000 8.858
Tm Mg Zr
1 6 1
direct
0.000 0.000 0.000
0.000 0.500 0.260
0.000 0.500 0.740
0.500 0.000 0.260
0.500 0.000 0.740
0.500 0.500 0.000
0.500 0.500 0.500
0.000 0.000 0.500

(11)
Tm3Mg2Zr (PBE, optimized geometry); energy of formation from the pure elements = -28 meV/atom; total moment = 0.00 Bohr magnetons per cell; SG = No. 123; calculated density = 6.73 g/cm³
1.0
3.420 0.000 0.000
0.000 3.420 0.000
0.000 0.000 13.642
Tm Mg Zr
3 2 1
direct
0.000 0.000 0.000
0.000 0.000 0.336
0.000 0.000 0.664
0.500 0.500 0.164
0.500 0.500 0.836
0.500 0.500 0.500

(12)
TmMg4Zr2 (PBE, optimized geometry); energy of formation from the pure elements = 62 meV/atom; total moment = 0.00 Bohr magnetons per cell; SG = No. 12; calculated density = 4.45 g/cm³
1.0
3.129 0.000 0.000
0.000 37.365 0.000
-1.223 0.000 2.865
Tm Mg Zr
2 8 4
direct
0.000 0.000 0.000
0.500 0.500 0.000
0.000 0.145 0.000
0.000 0.425 0.500
0.000 0.575 0.500
0.000 0.855 0.000
0.500 0.075 0.500
0.500 0.355 0.000
0.500 0.645 0.000
0.500 0.925 0.500
0.000 0.284 0.500
0.000 0.716 0.500
0.500 0.216 0.500
0.500 0.784 0.500

(13)
Tm2MgZr (PBE, optimized geometry); energy of formation from the pure elements = -24 meV/atom; total moment = 0.00 Bohr magnetons per cell; SG = No. 123; offset from the most stable computed form = 0.00 kJ per mole of atoms; calculated density = 7.08 g/cm³
1.0
3.399 0.000 0.000
0.000 3.399 0.000
0.000 0.000 9.201
Tm Mg Zr
2 1 1
direct
0.000 0.000 0.244
0.000 0.000 0.756
0.500 0.500 0.500
0.500 0.500 0.000

(14)
Tm2MgZr (PBE, optimized geometry); energy of formation from the pure elements = 47 meV/atom; total moment = 0.00 Bohr magnetons per cell; SG = No. 160; offset from the most stable computed form = 6.85 kJ per mole of atoms; calculated density = 7.03 g/cm³
1.0
3.357 0.000 0.000
-1.679 2.907 0.000
0.000 0.000 32.929
Tm Mg Zr
6 3 3
direct
0.000 0.000 0.000
0.000 0.000 0.174
0.333 0.667 0.667
0.333 0.667 0.840
0.667 0.333 0.333
0.667 0.333 0.507
0.000 0.000 0.753
0.333 0.667 0.420
0.667 0.333 0.087
0.000 0.000 0.587
0.333 0.667 0.253
0.667 0.333 0.920

(15)
Tm3Mg3Zr2 (PBE, optimized geometry); energy of formation from the pure elements = -7 meV/atom; total moment = 0.00 Bohr magnetons per cell; SG = No. 71; calculated density = 6.26 g/cm³
1.0
3.504 0.000 0.000
0.000 5.280 0.000
0.000 0.000 21.853
Tm Mg Zr
6 6 4
direct
0.000 0.000 0.000
0.000 0.500 0.134
0.000 0.500 0.866
0.500 0.000 0.366
0.500 0.000 0.634
0.500 0.500 0.500
0.000 0.000 0.500
0.000 0.500 0.380
0.000 0.500 0.620
0.500 0.000 0.120
0.500 0.000 0.880
0.500 0.500 0.000
0.000 0.000 0.237
0.000 0.000 0.763
0.500 0.500 0.263
0.500 0.500 0.737

(16)
TmMgZr2 (PBE, optimized geometry); energy of formation from the pure elements = 99 meV/atom; total moment = 0.00 Bohr magnetons per cell; SG = No. 166; offset from the most stable computed form = 2.61 kJ per mole of atoms; calculated density = 6.38 g/cm³
1.0
3.224 0.000 0.000
-1.612 2.792 0.000
0.000 0.000 32.558
Tm Mg Zr
3 3 6
direct
0.000 0.000 0.000
0.333 0.667 0.667
0.667 0.333 0.333
0.000 0.000 0.500
0.333 0.667 0.167
0.667 0.333 0.833
0.000 0.000 0.249
0.000 0.000 0.751
0.333 0.667 0.417
0.333 0.667 0.916
0.667 0.333 0.084
0.667 0.333 0.583

(17)
Tm3Mg2Zr6 (PBE, optimized geometry); energy of formation from the pure elements = 422 meV/atom; total moment = 0.00 Bohr magnetons per cell; SG = No. 189; calculated density = 6.06 g/cm³
1.0
8.224 0.000 0.000
-4.112 7.122 0.000
0.000 0.000 5.155
Tm Mg Zr
3 2 6
direct
0.000 0.554 0.000
0.446 0.446 0.000
0.554 0.000 0.000
0.333 0.667 0.500
0.667 0.333 0.500
0.000 0.202 0.000
0.000 0.781 0.500
0.202 0.000 0.000
0.219 0.219 0.500
0.781 0.000 0.500
0.798 0.798 0.000

(18)
TmMgZr2 (PBE, optimized geometry); energy of formation from the pure elements = 102 meV/atom; total moment = 0.00 Bohr magnetons per cell; SG = No. 8; offset from the most stable computed form = 2.93 kJ per mole of atoms; calculated density = 6.14 g/cm³
1.0
19.991 0.000 0.000
0.000 3.167 0.000
-0.002 0.000 3.209
Tm Mg Zr
2 2 4
direct
0.000 0.000 0.000
0.500 0.500 0.000
0.351 0.500 0.504
0.851 0.000 0.504
0.119 0.500 0.500
0.232 0.000 0.001
0.619 0.000 0.500
0.732 0.500 0.001

(19)
TmMg2Zr (PBE, optimized geometry); energy of formation from the pure elements = 106 meV/atom; total moment = 0.00 Bohr magnetons per cell; SG = No. 160; offset from the most stable computed form = 13.91 kJ per mole of atoms; calculated density = 5.22 g/cm³
1.0
3.208 0.000 0.000
-1.604 2.778 0.000
0.000 0.000 33.091
Tm Mg Zr
3 6 3
direct
0.000 0.000 0.000
0.333 0.667 0.667
0.667 0.333 0.333
0.000 0.000 0.420
0.000 0.000 0.581
0.333 0.667 0.087
0.333 0.667 0.248
0.667 0.333 0.753
0.667 0.333 0.914
0.000 0.000 0.167
0.333 0.667 0.834
0.667 0.333 0.501

(20)
Tm3Mg12Zr (PBE, optimized geometry); energy of formation from the pure elements = -16 meV/atom; total moment = 0.00 Bohr magnetons per cell; SG = No. 123; calculated density = 3.83 g/cm³
1.0
4.879 0.000 0.000
0.000 4.879 0.000
0.000 0.000 16.204
Tm Mg Zr
3 12 1
direct
0.000 0.000 0.000
0.000 0.000 0.258
0.000 0.000 0.742
0.000 0.500 0.129
0.000 0.500 0.384
0.000 0.500 0.616
0.000 0.500 0.871
0.500 0.000 0.129
0.500 0.000 0.384
0.500 0.000 0.616
0.500 0.000 0.871
0.500 0.500 0.000
0.500 0.500 0.255
0.500 0.500 0.500
0.500 0.500 0.745
0.000 0.000 0.500

(21)
Tm3MgZr3 (PBE, optimized geometry); energy of formation from the pure elements = 60 meV/atom; total moment = 0.00 Bohr magnetons per cell; SG = No. 176; calculated density = 7.45 g/cm³
1.0
8.811 0.000 0.000
-4.405 7.630 0.000
0.000 0.000 5.337
Tm Mg Zr
6 2 6
direct
0.059 0.806 0.250
0.194 0.253 0.250
0.253 0.059 0.750
0.747 0.941 0.250
0.806 0.747 0.750
0.941 0.194 0.750
0.333 0.667 0.250
0.667 0.333 0.750
0.112 0.617 0.750
0.383 0.495 0.750
0.495 0.112 0.250
0.505 0.888 0.750
0.617 0.505 0.250
0.888 0.383 0.250

(22)
TmMg2Zr (PBE, optimized geometry); energy of formation from the pure elements = -38 meV/atom; total moment = 0.00 Bohr magnetons per cell; SG = No. 99; offset from the most stable computed form = 0.00 kJ per mole of atoms; calculated density = 5.19 g/cm³
1.0
3.317 0.000 0.000
0.000 3.317 0.000
0.000 0.000 8.978
Tm Mg Zr
1 2 1
direct
0.000 0.000 0.000
0.000 0.000 0.492
0.500 0.500 0.726
0.500 0.500 0.249

(23)
Tm2Mg2Zr (PBE, optimized geometry); energy of formation from the pure elements = -42 meV/atom; total moment = 0.00 Bohr magnetons per cell; SG = No. 139; calculated density = 6.14 g/cm³
1.0
3.377 0.000 0.000
0.000 3.377 0.000
0.000 0.000 22.653
Tm Mg Zr
4 4 2
direct
0.000 0.000 0.100
0.000 0.000 0.900
0.500 0.500 0.400
0.500 0.500 0.600
0.000 0.000 0.294
0.000 0.000 0.706
0.500 0.500 0.206
0.500 0.500 0.794
0.000 0.000 0.500
0.500 0.500 0.000

(24)
TmMgZr2 (PBE, optimized geometry); energy of formation from the pure elements = 77 meV/atom; total moment = 0.00 Bohr magnetons per cell; SG = No. 123; offset from the most stable computed form = 0.56 kJ per mole of atoms; calculated density = 6.51 g/cm³
1.0
4.550 0.000 0.000
0.000 4.550 0.000
0.000 0.000 4.631
Tm Mg Zr
1 1 2
direct
0.000 0.000 0.000
0.500 0.500 0.000
0.000 0.500 0.500
0.500 0.000 0.500

(25)
Tm3MgZr (PBE, optimized geometry); energy of formation from the pure elements = 80 meV/atom; total moment = 0.00 Bohr magnetons per cell; SG = No. 12; calculated density = 7.43 g/cm³
1.0
10.864 -1.670 0.000
10.864 1.670 0.000
-2.402 0.000 7.663
Tm Mg Zr
6 2 2
direct
0.017 0.017 0.218
0.179 0.179 0.442
0.374 0.374 0.965
0.626 0.626 0.035
0.821 0.821 0.558
0.983 0.983 0.782
0.421 0.421 0.400
0.579 0.579 0.600
0.261 0.261 0.168
0.739 0.739 0.832

(26)
Tm3Mg4Zr (PBE, optimized geometry); energy of formation from the pure elements = -12 meV/atom; total moment = 0.00 Bohr magnetons per cell; SG = No. 123; calculated density = 5.73 g/cm³
1.0
3.647 0.000 0.000
0.000 3.647 0.000
0.000 0.000 15.146
Tm Mg Zr
3 4 1
direct
0.000 0.000 0.000
0.000 0.000 0.262
0.000 0.000 0.738
0.500 0.500 0.131
0.500 0.500 0.388
0.500 0.500 0.612
0.500 0.500 0.869
0.000 0.000 0.500

(27)
TmMg2Zr (PBE, optimized geometry); energy of formation from the pure elements = 44 meV/atom; total moment = 0.00 Bohr magnetons per cell; SG = No. 225; offset from the most stable computed form = 7.91 kJ per mole of atoms; calculated density = 5.37 g/cm³
1.0
7.255 0.000 0.000
0.000 7.255 0.000
0.000 0.000 7.255
Tm Mg Zr
4 8 4
direct
0.000 0.000 0.000
0.000 0.500 0.500
0.500 0.000 0.500
0.500 0.500 0.000
0.250 0.250 0.250
0.250 0.250 0.750
0.250 0.750 0.250
0.250 0.750 0.750
0.750 0.250 0.250
0.750 0.250 0.750
0.750 0.750 0.250
0.750 0.750 0.750
0.000 0.000 0.500
0.000 0.500 0.000
0.500 0.000 0.000
0.500 0.500 0.500